ZrPdSe2 after structural relaxation, computed with GGA-PBE.

**E_tot**: -5.98 eV/atom
**Crystal system**: trigonal
**Uncorrected formation energy**: -3.23 eV per formula unit
**Excess energy over the best structure of this formula in the dataset**: 0.144 eV/atom

Unit cell a=3.760 b=3.760 c=7.002 alpha=74.43 beta=74.43 gamma=60.00
Fractional positions:
Zr1 0.505 0.505 0.484
Pd1 0.659 0.659 0.022
Se1 0.084 0.084 0.749
Se2 0.252 0.252 0.244